No. 1
Here is a relaxed structure of Sr3MnAl from Alexandria via LeMat-Bulk. Energies are from PBE-GGA.

POSCAR file:
```
Sr3MnAl
1.0
-1.566 -2.506 5.472
-0.714 -5.537 -2.740
5.976 -1.319 1.107
Al Sr Mn
1 3 1
direct
0.000 0.000 0.000 Al
0.000 0.500 0.000 Sr
0.500 0.000 0.000 Sr
0.000 0.000 0.500 Sr
0.500 0.500 0.500 Mn
```

## Properties
Uncorrected energy: -2.989 eV/atom
SG: Pm-3m, No. 221
Formation energy: 602.3 meV per atom
D(E_F): 9.06 states/eV/f.u.

=====

No. 2
Here is a relaxed structure of SrMnAl4 from Alexandria via LeMat-Bulk. Energies are from PBE-GGA.

POSCAR file:
```
SrMnAl4
1.0
4.631 -0.482 3.019
0.208 -3.617 4.203
3.124 -4.567 -0.422
Al Sr Mn
4 1 1
direct
0.375 0.875 0.375 Al
0.375 0.375 0.375 Al
0.875 0.375 0.375 Al
0.375 0.375 0.875 Al
0.000 0.000 0.000 Sr
0.750 0.750 0.750 Mn
```

## Properties
Uncorrected energy: -4.235 eV/atom
SG: F-43m, No. 216
Formation energy: 68.3 meV per atom
D(E_F): 2.74 states/eV/f.u.

=====

No. 3
Here is a relaxed structure of Sr2MnAl from Alexandria via LeMat-Bulk. Energies are from PBE-GGA.

POSCAR file:
```
Sr2MnAl
1.0
10.973 0.000 0.000
0.000 10.973 0.000
5.487 5.487 2.375
Sr Al Mn
4 2 2
direct
0.375 0.187 0.750 Sr
0.937 0.625 0.250 Sr
0.813 0.125 0.250 Sr
0.875 0.063 0.750 Sr
0.500 0.500 0.000 Al
0.250 0.750 0.500 Al
0.000 0.000 0.000 Mn
0.750 0.250 0.500 Mn
```

## Properties
Uncorrected energy: -3.417 eV/atom
SG: I-42d, No. 122
Formation energy: 651.7 meV per atom
D(E_F): 4.92 states/eV/f.u.

=====

No. 4
Here is a relaxed structure of SrMn2Al from Alexandria via LeMat-Bulk. Energies are from PBE-GGA.

POSCAR file:
```
SrMn2Al
1.0
-1.385 -2.475 3.220
2.706 -1.183 3.112
-0.950 3.433 5.090
Mn Sr Al
2 1 1
direct
0.691 0.691 0.928 Mn
0.008 0.008 0.977 Mn
0.497 0.497 0.510 Sr
0.305 0.305 0.085 Al
```

## Properties
Uncorrected energy: -5.856 eV/atom
SG: R3m, No. 160
Formation energy: 84.6 meV per atom
D(E_F): 2.55 states/eV/f.u.

=====

No. 5
Here is a relaxed structure of Sr2MnAl from Alexandria via LeMat-Bulk. Energies are from PBE-GGA.

POSCAR file:
```
Sr2MnAl
1.0
3.623 0.000 0.000
0.000 3.623 0.000
0.000 0.000 9.221
Al Mn Sr
1 1 2
direct
0.000 0.000 0.576 Al
0.500 0.500 0.674 Mn
0.500 0.500 0.320 Sr
0.000 0.000 0.931 Sr
```

## Properties
Uncorrected energy: -3.878 eV/atom
SG: P4mm, No. 99
Formation energy: 191.2 meV per atom
D(E_F): 4.57 states/eV/f.u.

=====

No. 6
Here is a relaxed structure of Sr2MnAl2 from Alexandria via LeMat-Bulk. Energies are from PBE-GGA.

POSCAR file:
```
Sr2MnAl2
1.0
6.901 0.000 0.000
0.000 6.901 0.000
0.000 0.000 5.347
Sr Mn Al
4 2 4
direct
0.326 0.174 0.500 Sr
0.174 0.674 0.500 Sr
0.826 0.326 0.500 Sr
0.674 0.826 0.500 Sr
0.000 0.000 0.000 Mn
0.500 0.500 0.000 Mn
0.843 0.657 0.000 Al
0.157 0.343 0.000 Al
0.657 0.157 0.000 Al
0.343 0.843 0.000 Al
```

## Properties
Uncorrected energy: -3.589 eV/atom
SG: P4/mbm, No. 127
Formation energy: 414.8 meV per atom
D(E_F): 9.49 states/eV/f.u.

=====

No. 7
Here is a relaxed structure of Sr2MnAl from Alexandria via LeMat-Bulk. Energies are from PBE-GGA.

POSCAR file:
```
Sr2MnAl
1.0
4.633 0.000 0.000
0.000 4.872 -0.008
0.000 2.451 5.851
Sr Al Mn
2 1 1
direct
0.500 0.268 0.340 Sr
0.000 0.979 0.917 Sr
0.000 0.676 0.523 Al
0.500 0.577 0.720 Mn
```

## Properties
Uncorrected energy: -3.905 eV/atom
SG: Amm2, No. 38
Formation energy: 164.1 meV per atom
D(E_F): 4.20 states/eV/f.u.

=====

No. 8
Here is a relaxed structure of SrMn2Al from Alexandria via LeMat-Bulk. Energies are from PBE-GGA.

POSCAR file:
```
SrMn2Al
1.0
3.209 0.000 0.000
0.000 3.209 0.000
0.000 0.000 7.702
Mn Sr Al
2 1 1
direct
0.500 0.500 0.163 Mn
0.000 0.000 0.023 Mn
0.000 0.000 0.495 Sr
0.500 0.500 0.819 Al
```

## Properties
Uncorrected energy: -5.708 eV/atom
SG: P4mm, No. 99
Formation energy: 232.6 meV per atom
D(E_F): 3.60 states/eV/f.u.